# 1
VASP calculation (PBE) on crystalline TbDyHo6Er2 at its relaxed geometry.

The calculation puts the density of states at the Fermi level at 28.59 states/eV/cell. The calculation puts the final energy at -4.46 eV per atom. As for the formation energy: 2.8 kcal/mol of atoms. As for the spin magnetization: 0.0 Bohr magnetons per cell.

a b c (Å): 9.466 8.688 8.688
angles (deg): 117.84 93.89 93.89
Element x y z (fractional)
1 Ho 0.184 0.569 0.020
2 Ho 0.120 0.709 0.495
3 Ho 0.880 0.291 0.505
4 Ho 0.316 0.980 0.431
5 Ho 0.380 0.505 0.291
6 Ho 0.056 0.123 0.751
7 Ho 0.444 0.249 0.877
8 Ho 0.556 0.751 0.123
9 Ho 0.944 0.877 0.249
10 Ho 0.816 0.431 0.980
11 Ho 0.684 0.020 0.569
12 Ho 0.620 0.495 0.709
13 Dy 0.750 0.591 0.409
14 Dy 0.250 0.409 0.591
15 Tb 0.750 0.024 0.976
16 Tb 0.250 0.976 0.024
17 Er 0.045 0.302 0.196
18 Er 0.455 0.804 0.698
19 Er 0.545 0.196 0.302
20 Er 0.955 0.698 0.804

=====

# 2
VASP calculation (PBE) on crystalline Tb2Dy3HoEr6 at its relaxed geometry.

The calculation puts the density of states at the Fermi level at 15.96 states/eV/cell. The calculation puts the final energy at -4.57 eV per atom. As for the formation energy: 0.4 kcal/mol of atoms. As for the spin magnetization: 0.0 Bohr magnetons per cell.

a b c (Å): 6.090 6.090 11.645
angles (deg): 94.98 94.98 119.95
Element x y z (fractional)
1 Er 0.084 0.417 0.250
2 Er 0.751 0.751 0.250
3 Er 0.417 0.084 0.250
4 Er 0.916 0.583 0.750
5 Er 0.583 0.916 0.750
6 Er 0.249 0.249 0.750
7 Tb 0.333 0.667 0.000
8 Tb 0.667 0.333 0.000
9 Dy 0.167 0.833 0.500
10 Dy 0.833 0.167 0.500
11 Dy 0.500 0.500 0.500
12 Ho 0.000 0.000 0.000

=====

# 3
VASP calculation (PBE) on crystalline Tb6Dy2HoEr at its relaxed geometry.

The calculation puts the density of states at the Fermi level at 26.90 states/eV/cell. The calculation puts the final energy at -4.49 eV per atom. As for the formation energy: 2.7 kcal/mol of atoms. As for the spin magnetization: 0.0 Bohr magnetons per cell.

a b c (Å): 9.532 8.743 8.743
angles (deg): 117.99 94.05 94.05
Element x y z (fractional)
1 Tb 0.880 0.291 0.504
2 Tb 0.556 0.753 0.123
3 Tb 0.186 0.570 0.018
4 Tb 0.620 0.496 0.709
5 Tb 0.814 0.430 0.982
6 Tb 0.686 0.018 0.570
7 Tb 0.314 0.982 0.430
8 Tb 0.120 0.709 0.496
9 Tb 0.444 0.247 0.877
10 Tb 0.056 0.123 0.753
11 Tb 0.944 0.877 0.247
12 Tb 0.380 0.504 0.291
13 Dy 0.544 0.197 0.301
14 Dy 0.456 0.803 0.699
15 Dy 0.956 0.699 0.803
16 Dy 0.044 0.301 0.197
17 Er 0.750 0.591 0.409
18 Er 0.250 0.409 0.591
19 Ho 0.750 0.023 0.977
20 Ho 0.250 0.977 0.023